No. 1
## Sr2BeTe (PBE-GGA)

Data for a geometry-optimized Sr2BeTe structure.

The structure in POSCAR format:
```
Sr2BeTe
1.0
4.026 0.000 0.000
0.000 5.539 0.000
0.000 0.000 5.537
Sr Be Te
2 1 1
Direct
0.000 0.000 0.000
0.000 0.500 0.500
0.501 0.000 0.501
0.500 0.500 0.000
```

Summary:
DOS(E_F) = 0.546 states/eV per atom
Total moment = 0.00 μB per formula unit
E_tot = -2.9195 eV/atom
Formation energy from raw total energies = -0.362 eV per atom

No. 2
## SrBe2Te (PBE-GGA)

Data for a geometry-optimized SrBe2Te structure.

The structure in POSCAR format:
```
SrBe2Te
1.0
3.819 -1.970 0.000
3.819 1.970 0.000
-1.631 0.000 6.089
Sr Be Te
1 2 1
Direct
0.000 0.000 0.000
0.410 0.410 0.329
0.714 0.714 0.339
0.231 0.231 0.598
```

Summary:
DOS(E_F) = 0.312 states/eV per atom
Total moment = 0.00 μB per formula unit
E_tot = -3.1169 eV/atom
Formation energy from raw total energies = -0.048 eV per atom

No. 3
## SrBeTe2 (PBE-GGA)

Data for a geometry-optimized SrBeTe2 structure.

The structure in POSCAR format:
```
SrBeTe2
1.0
6.546 -2.073 0.000
6.546 2.073 0.000
-0.475 0.000 4.906
Sr Be Te
1 1 2
Direct
0.000 0.000 0.000
0.282 0.282 0.233
0.442 0.442 0.485
0.715 0.715 0.032
```

Summary:
Total moment = 0.00 μB per formula unit
E_tot = -3.7746 eV/atom
Formation energy from raw total energies = -0.852 eV per atom

No. 4
## SrBeTe2 (PBE-GGA)

Data for a geometry-optimized SrBeTe2 structure.

The structure in POSCAR format:
```
SrBeTe2
1.0
5.201 0.000 0.000
0.000 5.201 0.000
0.000 0.000 4.033
Sr Be Te
1 1 2
Direct
0.000 0.000 0.000
0.500 0.500 0.000
0.000 0.500 0.500
0.500 0.000 0.500
```

Summary:
DOS(E_F) = 0.641 states/eV per atom
Total moment = 0.00 μB per formula unit
E_tot = -3.1261 eV/atom
Formation energy from raw total energies = -0.203 eV per atom

No. 5
## SrBe2Te (PBE-GGA)

Data for a geometry-optimized SrBe2Te structure.

The structure in POSCAR format:
```
SrBe2Te
1.0
-1.898 3.009 4.283
1.898 -3.009 4.283
1.898 3.009 -4.283
Sr Be Te
1 2 1
Direct
0.000 0.000 0.000
0.296 0.796 0.500
0.704 0.204 0.500
0.500 0.500 0.000
```

Summary:
DOS(E_F) = 0.464 states/eV per atom
Total moment = 0.00 μB per formula unit
E_tot = -2.6555 eV/atom
Formation energy from raw total energies = 0.413 eV per atom

No. 6
## SrBeTe (PBE-GGA)

Data for a geometry-optimized SrBeTe structure.

The structure in POSCAR format:
```
SrBeTe
1.0
2.293 -8.632 0.000
2.293 8.632 0.000
0.000 0.000 4.362
Sr Be Te
2 2 2
Direct
0.119 0.881 0.750
0.881 0.119 0.250
0.469 0.531 0.750
0.531 0.469 0.250
0.330 0.670 0.750
0.670 0.330 0.250
```

Summary:
DOS(E_F) = 0.245 states/eV per atom
Total moment = 0.00 μB per formula unit
E_tot = -3.4398 eV/atom
Formation energy from raw total energies = -0.590 eV per atom

No. 7
## Sr2BeTe (PBE-GGA)

Data for a geometry-optimized Sr2BeTe structure.

The structure in POSCAR format:
```
Sr2BeTe
1.0
0.000 3.965 3.965
3.965 0.000 3.965
3.965 3.965 0.000
Sr Be Te
2 1 1
Direct
0.000 0.000 0.000
0.250 0.250 0.250
0.500 0.500 0.500
0.750 0.750 0.750
```

Summary:
DOS(E_F) = 0.630 states/eV per atom
Total moment = 0.00 μB per formula unit
E_tot = -2.3864 eV/atom
Formation energy from raw total energies = 0.171 eV per atom

No. 8
## SrBe2Te (PBE-GGA)

Data for a geometry-optimized SrBe2Te structure.

The structure in POSCAR format:
```
SrBe2Te
1.0
3.629 0.000 0.000
0.000 3.629 0.000
0.000 0.000 6.684
Sr Be Te
1 2 1
Direct
0.000 0.000 0.000
0.000 0.000 0.547
0.500 0.500 0.678
0.500 0.500 0.324
```

Summary:
DOS(E_F) = 0.275 states/eV per atom
Total moment = 0.00 μB per formula unit
E_tot = -2.8254 eV/atom
Formation energy from raw total energies = 0.244 eV per atom

No. 9
## SrBe2Te (PBE-GGA)

Data for a geometry-optimized SrBe2Te structure.

The structure in POSCAR format:
```
SrBe2Te
1.0
2.116 1.222 5.936
-2.116 1.222 5.936
0.000 -2.443 5.936
Sr Be Te
1 2 1
Direct
0.000 0.000 0.000
0.220 0.220 0.220
0.780 0.780 0.780
0.500 0.500 0.500
```

Summary:
DOS(E_F) = 0.269 states/eV per atom
Total moment = 0.00 μB per formula unit
E_tot = -2.7676 eV/atom
Formation energy from raw total energies = 0.301 eV per atom

No. 10
## Sr2BeTe (PBE-GGA)

Data for a geometry-optimized Sr2BeTe structure.

The structure in POSCAR format:
```
Sr2BeTe
1.0
4.047 0.000 0.000
0.000 4.058 0.000
0.000 0.000 7.496
Sr Be Te
2 1 1
Direct
0.000 0.000 0.241
0.000 0.000 0.759
0.500 0.500 0.000
0.500 0.500 0.500
```

Summary:
DOS(E_F) = 0.449 states/eV per atom
Total moment = 0.00 μB per formula unit
E_tot = -2.9837 eV/atom
Formation energy from raw total energies = -0.426 eV per atom

No. 11
## SrBe2Te (PBE-GGA)

Data for a geometry-optimized SrBe2Te structure.

The structure in POSCAR format:
```
SrBe2Te
1.0
-2.021 2.170 5.410
2.021 -2.170 5.410
2.021 2.170 -5.410
Sr Be Te
1 2 1
Direct
0.000 0.000 0.000
0.638 0.638 0.000
0.701 0.201 0.500
0.257 0.757 0.500
```

Summary:
DOS(E_F) = 0.377 states/eV per atom
Total moment = 0.00 μB per formula unit
E_tot = -2.9672 eV/atom
Formation energy from raw total energies = 0.102 eV per atom

No. 12
## SrBeTe (PBE-GGA)

Data for a geometry-optimized SrBeTe structure.

The structure in POSCAR format:
```
SrBeTe
1.0
12.266 0.000 0.000
0.000 4.042 0.000
0.000 0.000 6.586
Sr Be Te
4 4 4
Direct
0.074 0.250 0.212
0.426 0.750 0.712
0.574 0.250 0.288
0.926 0.750 0.788
0.171 0.750 0.916
0.329 0.250 0.416
0.671 0.750 0.584
0.829 0.250 0.084
0.177 0.250 0.690
0.323 0.750 0.190
0.677 0.250 0.810
0.823 0.750 0.310
```

Summary:
DOS(E_F) = 0.108 states/eV per atom
Total moment = 0.00 μB per formula unit
E_tot = -3.2299 eV/atom
Formation energy from raw total energies = -0.380 eV per atom